LaBrCl2 | PBE | optimized geometry

abc: 4.186 7.081 8.853
angles: 90.00 90.00 107.19
Sites, in units of the cell vectors:
La 0.741 0.483 0.750
La 0.259 0.517 0.250
Br 0.914 0.828 0.250
Br 0.086 0.172 0.750
Cl 0.338 0.677 0.569
Cl 0.662 0.323 0.431
Cl 0.338 0.677 0.931
Cl 0.662 0.323 0.069

* symmetry: Cmcm (63)
* E_form (uncorrected): -2.254 eV per atom
* energy above the most stable polymorph in this dataset: 0.000 eV per atom
* calculated volume: 31.33 Å³ per atom


LaBrCl2 | PBE | optimized geometry

abc: 7.472 7.472 5.472
angles: 68.51 68.51 30.10
Sites, in units of the cell vectors:
Cl 0.098 0.098 0.902
Cl 0.402 0.402 0.598
Br 0.250 0.250 0.250
La 0.750 0.750 0.750

* symmetry: Immm (71)
* E_form (uncorrected): -2.066 eV per atom
* energy above the most stable polymorph in this dataset: 0.188 eV per atom
* calculated volume: 35.44 Å³ per atom


LaBrCl2 | PBE | optimized geometry

abc: 5.450 5.450 5.450
angles: 128.52 128.52 75.79
Sites, in units of the cell vectors:
Cl 0.000 0.000 0.000
Cl 0.250 0.750 0.500
Br 0.750 0.250 0.500
La 0.500 0.500 0.000

* symmetry: I-4m2 (119)
* E_form (uncorrected): -1.889 eV per atom
* energy above the most stable polymorph in this dataset: 0.365 eV per atom
* calculated volume: 24.10 Å³ per atom